BaCd4Si: optimized geometry, PBE.

Results
**Energy relative to the elements, uncorrected**: 0.079 eV per atom

Unit cell a=8.6318 b=8.6318 c=8.6318 alpha=90.00 beta=90.00 gamma=90.00
Space group F-43m (No. 216)
Unique sites:
1 Ba 0.0000 0.0000 0.0000 (multiplicity 4)
2 Cd 0.1240 0.1240 0.6240 (multiplicity 16)
3 Si 0.2500 0.2500 0.2500 (multiplicity 4)

DyAlNi3: optimized geometry, PBE.

Results
**Formation enthalpy at 0 K**: -0.043 eV/atom

Unit cell a=5.4405 b=7.0309 c=4.3897 alpha=90.00 beta=90.00 gamma=90.00
Space group Cmmm (No. 65)
Unique sites:
1 Dy 0.0000 0.0000 0.0000 (multiplicity 2)
2 Al 0.0000 0.5000 0.5000 (multiplicity 2)
3 Ni 0.0000 0.5000 0.0000 (multiplicity 2)
4 Ni 0.2500 0.2500 0.5000 (multiplicity 4)

Li2HfGa2: optimized geometry, PBE.

Results
**Formation enthalpy at 0 K**: -0.240 eV/atom
**Offset from the most stable computed form**: 0.0 meV per atom

Unit cell a=7.5554 b=7.5554 c=2.7807 alpha=90.00 beta=90.00 gamma=90.00
Space group P4/mbm (No. 127)
Unique sites:
1 Li 0.1144 0.3856 0.0000 (multiplicity 4)
2 Hf 0.0000 0.0000 0.0000 (multiplicity 2)
3 Ga 0.1844 0.6844 0.5000 (multiplicity 4)

Pu3SeO3: optimized geometry, PBE.

Results
**Energy relative to the elements, uncorrected**: -2.592 eV per atom

Unit cell a=6.7600 b=6.7600 c=20.8609 alpha=90.00 beta=90.00 gamma=120.00
Space group R-3 (No. 148, hexagonal axes)
Unique sites:
1 Pu 0.0020 0.3450 0.4023 (multiplicity 18)
2 Se 0.0000 0.0000 0.1666 (multiplicity 6)
3 O 0.0040 0.3251 0.6238 (multiplicity 18)